(1)
A plane-wave DFT calculation with PBE was carried out for MoAu3 after structural relaxation.

The structure in POSCAR format:
```
MoAu3
1.0
5.279 0.000 0.000
0.000 5.279 0.000
0.000 0.000 5.279
Mo Au
2 6
Direct
0.000 0.000 0.000
0.500 0.500 0.500
0.000 0.250 0.500
0.000 0.750 0.500
0.250 0.500 0.000
0.500 0.000 0.250
0.500 0.000 0.750
0.750 0.500 0.000
```

Output
energy relative to the elements	462.9	meV per atom



(2)
A plane-wave DFT calculation with PBE was carried out for MoAu3 after structural relaxation.

The structure in POSCAR format:
```
MoAu3
1.0
-2.133 2.133 3.833
2.133 -2.133 3.833
2.133 2.133 -3.833
Mo Au
1 3
Direct
0.000 0.000 0.000
0.250 0.750 0.500
0.500 0.500 0.000
0.750 0.250 0.500
```

Output
energy relative to the elements	346.9	meV per atom



(3)
A plane-wave DFT calculation with PBE was carried out for MoAu after structural relaxation.

The structure in POSCAR format:
```
MoAu
1.0
-1.568 5.632 3.137
1.568 -5.632 3.137
1.568 5.632 -3.137
Mo Au
3 3
Direct
0.000 0.000 0.000
0.637 0.251 0.386
0.864 0.251 0.614
0.052 0.732 0.319
0.413 0.732 0.681
0.441 0.441 0.000
```

Output
energy relative to the elements	393.3	meV per atom



Which value of energy relative to the elements does entry 2 give?
346.9 meV per atom